--- i ---
The following is a DFT calculation (GGA-PBE) of ScB2Os after structural relaxation.

Values from the calculation:
Space-group type: Pnma, No. 62
Density (g/cm3): 9.40
Crystal system: orthorhombic

a = 5.6530 Å, b = 5.1956 Å, c = 6.1761 Å
α = 90.00°, β = 90.00°, γ = 90.00°
Atoms (fractional coordinates):
Sc 0.0113 0.2500 0.1711
Sc 0.4887 0.7500 0.6711
Sc 0.5113 0.2500 0.3289
Sc 0.9887 0.7500 0.8289
B 0.1450 0.5809 0.4671
B 0.1450 0.9191 0.4671
B 0.3550 0.0809 0.9671
B 0.3550 0.4191 0.9671
B 0.6450 0.5809 0.0329
B 0.6450 0.9191 0.0329
B 0.8550 0.0809 0.5329
B 0.8550 0.4191 0.5329
Os 0.1779 0.2500 0.6793
Os 0.3221 0.7500 0.1793
Os 0.6779 0.2500 0.8207
Os 0.8221 0.7500 0.3207

=====

--- ii ---
The following is a DFT calculation (GGA-PBE) of ScB2Os after structural relaxation.

Values from the calculation:
Space-group type: F-43m, No. 216
Density (g/cm3): 9.00
Crystal system: cubic

a = 4.0610 Å, b = 4.0610 Å, c = 4.0610 Å
α = 60.00°, β = 60.00°, γ = 60.00°
Atoms (fractional coordinates):
Sc 0.0000 0.0000 0.0000
B 0.5000 0.5000 0.5000
B 0.7500 0.7500 0.7500
Os 0.2500 0.2500 0.2500

=====

Most favorable first, least favorable last: i, ii

=====

--- i ---
The following is a DFT calculation (GGA-PBE) of ScB4Os after structural relaxation.

Values from the calculation:
Space-group type: P6/mmm, No. 191
Density (g/cm3): 8.37
Crystal system: hexagonal

a = 3.1031 Å, b = 3.1031 Å, c = 6.6224 Å
α = 90.00°, β = 90.00°, γ = 120.00°
Atoms (fractional coordinates):
Sc 0.0000 0.0000 0.0000
B 0.3333 0.6667 0.2578
B 0.3333 0.6667 0.7422
B 0.6667 0.3333 0.2578
B 0.6667 0.3333 0.7422
Os 0.0000 0.0000 0.5000

=====

--- ii ---
The following is a DFT calculation (GGA-PBE) of ScB4Os after structural relaxation.

Values from the calculation:
Space-group type: Pbam, No. 55
Density (g/cm3): 8.06
Crystal system: orthorhombic

a = 5.8502 Å, b = 11.2839 Å, c = 3.4739 Å
α = 90.00°, β = 90.00°, γ = 90.00°
Atoms (fractional coordinates):
Sc 0.1291 0.1497 0.0000
Sc 0.3709 0.6497 0.0000
Sc 0.6291 0.3503 0.0000
Sc 0.8709 0.8503 0.0000
B 0.0220 0.6946 0.5000
B 0.1152 0.5491 0.5000
B 0.1332 0.9710 0.5000
B 0.2042 0.8134 0.5000
B 0.2958 0.3134 0.5000
B 0.3668 0.4710 0.5000
B 0.3848 0.0491 0.5000
B 0.4780 0.1946 0.5000
B 0.5220 0.8054 0.5000
B 0.6152 0.9509 0.5000
B 0.6332 0.5290 0.5000
B 0.7042 0.6866 0.5000
B 0.7958 0.1866 0.5000
B 0.8668 0.0290 0.5000
B 0.8848 0.4509 0.5000
B 0.9780 0.3054 0.5000
Os 0.1430 0.4054 0.0000
Os 0.3570 0.9054 0.0000
Os 0.6430 0.0946 0.0000
Os 0.8570 0.5946 0.0000

=====

Most favorable first, least favorable last: ii, i

=====

--- i ---
The following is a DFT calculation (GGA-PBE) of SiB4Os after structural relaxation.

Values from the calculation:
Space-group type: P6/mmm, No. 191
Density (g/cm3): 8.31
Crystal system: hexagonal

a = 2.9915 Å, b = 2.9915 Å, c = 6.7404 Å
α = 90.00°, β = 90.00°, γ = 120.00°
Atoms (fractional coordinates):
Si 0.0000 0.0000 0.0000
B 0.3333 0.6667 0.2413
B 0.3333 0.6667 0.7587
B 0.6667 0.3333 0.2413
B 0.6667 0.3333 0.7587
Os 0.0000 0.0000 0.5000

=====

--- ii ---
The following is a DFT calculation (GGA-PBE) of SiB4Os after structural relaxation.

Values from the calculation:
Space-group type: Immm, No. 71
Density (g/cm3): 8.32
Crystal system: orthorhombic

a = 4.4864 Å, b = 4.4864 Å, c = 4.4864 Å
α = 141.12°, β = 107.54°, γ = 85.42°
Atoms (fractional coordinates):
Si 0.0000 0.0000 0.0000
B 0.0743 0.7383 0.3360
B 0.4023 0.7383 0.6640
B 0.5977 0.2617 0.3360
B 0.9257 0.2617 0.6640
Os 0.5000 0.5000 0.0000

=====

Most favorable first, least favorable last: ii, i

=====

--- i ---
The following is a DFT calculation (GGA-PBE) of TaBOs after structural relaxation.

Values from the calculation:
Space-group type: F-43m, No. 216
Density (g/cm3): 13.30
Crystal system: cubic

a = 4.0710 Å, b = 4.0710 Å, c = 4.0710 Å
α = 60.00°, β = 60.00°, γ = 60.00°
Atoms (fractional coordinates):
Ta 0.0000 0.0000 0.0000
B 0.5000 0.5000 0.5000
Os 0.7500 0.7500 0.7500

=====

--- ii ---
The following is a DFT calculation (GGA-PBE) of TaBOs after structural relaxation.

Values from the calculation:
Space-group type: Pnma, No. 62
Density (g/cm3): 16.09
Crystal system: orthorhombic

a = 5.8270 Å, b = 4.4160 Å, c = 6.1272 Å
α = 90.00°, β = 90.00°, γ = 90.00°
Atoms (fractional coordinates):
Ta 0.0046 0.2500 0.1767
Ta 0.4954 0.7500 0.6767
Ta 0.5046 0.2500 0.3233
Ta 0.9954 0.7500 0.8233
B 0.1612 0.7500 0.4611
B 0.3388 0.2500 0.9611
B 0.6612 0.7500 0.0389
B 0.8388 0.2500 0.5389
Os 0.1955 0.2500 0.6326
Os 0.3045 0.7500 0.1326
Os 0.6955 0.2500 0.8674
Os 0.8045 0.7500 0.3674

=====

--- iii ---
The following is a DFT calculation (GGA-PBE) of TaBOs after structural relaxation.

Values from the calculation:
Space-group type: F-43m, No. 216
Density (g/cm3): 13.01
Crystal system: cubic

a = 4.1005 Å, b = 4.1005 Å, c = 4.1005 Å
α = 60.00°, β = 60.00°, γ = 60.00°
Atoms (fractional coordinates):
Ta 0.0000 0.0000 0.0000
B 0.7500 0.7500 0.7500
Os 0.2500 0.2500 0.2500

=====

--- iv ---
The following is a DFT calculation (GGA-PBE) of TaBOs after structural relaxation.

Values from the calculation:
Space-group type: Pnma, No. 62
Density (g/cm3): 16.63
Crystal system: orthorhombic

a = 5.9777 Å, b = 3.5824 Å, c = 7.1263 Å
α = 90.00°, β = 90.00°, γ = 90.00°
Atoms (fractional coordinates):
Ta 0.0255 0.2500 0.1777
Ta 0.4745 0.7500 0.6777
Ta 0.5255 0.2500 0.3223
Ta 0.9745 0.7500 0.8223
B 0.2194 0.7500 0.3651
B 0.2806 0.2500 0.8651
B 0.7194 0.7500 0.1349
B 0.7806 0.2500 0.6349
Os 0.1576 0.2500 0.5598
Os 0.3424 0.7500 0.0598
Os 0.6576 0.2500 0.9402
Os 0.8424 0.7500 0.4402

=====

Most favorable first, least favorable last: iv, ii, i, iii